1.
Ba3U2O9, optimized geometry, DFT PBE; magnetization = 0.00 μB/f.u.; energy = -8.19 eV/atom; SG = R-3c (167); crystal system = trigonal
1.0
5.388 3.111 4.758
-5.388 3.111 4.758
0.000 -6.221 4.758
Ba U O
6 4 18
direct
0.078 0.750 0.422
0.250 0.578 0.922
0.422 0.078 0.750
0.578 0.922 0.250
0.750 0.422 0.078
0.922 0.250 0.578
0.140 0.140 0.140
0.360 0.360 0.360
0.640 0.640 0.640
0.860 0.860 0.860
0.076 0.263 0.918
0.082 0.924 0.737
0.104 0.396 0.250
0.237 0.424 0.582
0.250 0.104 0.396
0.263 0.918 0.076
0.396 0.250 0.104
0.418 0.763 0.576
0.424 0.582 0.237
0.576 0.418 0.763
0.582 0.237 0.424
0.604 0.750 0.896
0.737 0.082 0.924
0.750 0.896 0.604
0.763 0.576 0.418
0.896 0.604 0.750
0.918 0.076 0.263
0.924 0.737 0.082

2.
Ba6UO8, optimized geometry, DFT PBE; magnetization = 2.02 μB/f.u.; energy = -6.75 eV/atom; SG = R-3 (148); crystal system = trigonal
1.0
3.990 2.304 5.560
-3.990 2.304 5.560
0.000 -4.607 5.560
Ba U O
6 1 8
direct
0.004 0.430 0.805
0.195 0.996 0.570
0.430 0.805 0.004
0.570 0.195 0.996
0.805 0.004 0.430
0.996 0.570 0.195
0.500 0.500 0.500
0.184 0.184 0.184
0.204 0.652 0.416
0.348 0.584 0.796
0.416 0.204 0.652
0.584 0.796 0.348
0.652 0.416 0.204
0.796 0.348 0.584
0.816 0.816 0.816

3.
Ba2U3O10, optimized geometry, DFT PBE; magnetization = 2.00 μB/f.u.; energy = -8.98 eV/atom; SG = C2/m (12); crystal system = monoclinic
1.0
9.899 -3.364 0.000
9.899 3.364 0.000
-3.296 0.000 7.734
Ba U O
4 6 20
direct
0.112 0.112 0.227
0.205 0.205 0.841
0.795 0.795 0.159
0.888 0.888 0.773
0.246 0.754 0.500
0.317 0.317 0.477
0.418 0.418 0.024
0.582 0.582 0.976
0.683 0.683 0.523
0.754 0.246 0.500
0.000 0.500 0.500
0.018 0.018 0.674
0.128 0.569 0.007
0.134 0.646 0.467
0.262 0.262 0.230
0.297 0.703 0.000
0.354 0.866 0.533
0.369 0.369 0.734
0.431 0.872 0.993
0.477 0.477 0.321
0.500 0.000 0.500
0.523 0.523 0.679
0.569 0.128 0.007
0.631 0.631 0.266
0.646 0.134 0.467
0.703 0.297 0.000
0.738 0.738 0.770
0.866 0.354 0.533
0.872 0.431 0.993
0.982 0.982 0.326

4.
Ba3U2O8, optimized geometry, DFT PBE; magnetization = 1.98 μB/f.u.; SG = R-3m (166); crystal system = trigonal; polymorph energy (0 for the lowest one) = 171 meV per atom
1.0
3.350 1.934 6.895
-3.350 1.934 6.895
0.000 -3.869 6.895
Ba U O
3 2 8
direct
0.000 0.000 0.000
0.193 0.193 0.193
0.807 0.807 0.807
0.414 0.414 0.414
0.586 0.586 0.586
0.221 0.738 0.738
0.262 0.262 0.779
0.262 0.779 0.262
0.318 0.318 0.318
0.682 0.682 0.682
0.738 0.221 0.738
0.738 0.738 0.221
0.779 0.262 0.262

5.
Ba4U3O10, optimized geometry, DFT PBE; magnetization = 5.98 μB/f.u.; energy = -8.32 eV/atom; SG = I4/mmm (139); crystal system = tetragonal
1.0
-2.232 2.232 15.700
2.232 -2.232 15.700
2.232 2.232 -15.700
Ba U O
4 3 10
direct
0.070 0.070 0.000
0.205 0.205 0.000
0.795 0.795 0.000
0.930 0.930 0.000
0.358 0.358 0.000
0.500 0.500 0.000
0.642 0.642 0.000
0.000 0.500 0.500
0.141 0.641 0.500
0.288 0.288 0.000
0.359 0.859 0.500
0.429 0.429 0.000
0.500 0.000 0.500
0.571 0.571 0.000
0.641 0.141 0.500
0.712 0.712 0.000
0.859 0.359 0.500

6.
BaU2O8, optimized geometry, DFT PBE; magnetization = 1.23 μB/f.u.; SG = P4/mmm (123); crystal system = tetragonal; polymorph energy (0 for the lowest one) = 175 meV per atom
1.0
5.165 0.000 0.000
0.000 5.165 0.000
0.000 0.000 6.584
Ba U O
1 2 8
direct
0.000 0.000 0.000
0.000 0.500 0.500
0.500 0.000 0.500
0.249 0.249 0.314
0.249 0.249 0.686
0.249 0.751 0.314
0.249 0.751 0.686
0.751 0.249 0.314
0.751 0.249 0.686
0.751 0.751 0.314
0.751 0.751 0.686

7.
Ba3U4O12, optimized geometry, DFT PBE; magnetization = 6.00 μB/f.u.; energy = -8.97 eV/atom; SG = Im-3 (204); crystal system = cubic
1.0
-4.386 4.386 4.386
4.386 -4.386 4.386
4.386 4.386 -4.386
Ba U O
3 4 12
direct
0.000 0.500 0.500
0.500 0.000 0.500
0.500 0.500 0.000
0.000 0.000 0.500
0.000 0.500 0.000
0.500 0.000 0.000
0.500 0.500 0.500
0.036 0.758 0.278
0.242 0.278 0.520
0.242 0.722 0.964
0.278 0.036 0.758
0.278 0.520 0.242
0.480 0.758 0.722
0.520 0.242 0.278
0.722 0.480 0.758
0.722 0.964 0.242
0.758 0.278 0.036
0.758 0.722 0.480
0.964 0.242 0.722

8.
BaUO3, optimized geometry, DFT PBE; magnetization = 2.00 μB/f.u.; energy = -8.67 eV/atom; SG = Pnma (62); crystal system = orthorhombic
1.0
6.267 0.000 0.000
0.000 8.837 0.000
0.000 0.000 6.285
Ba U O
4 4 12
direct
0.018 0.250 0.006
0.482 0.750 0.506
0.518 0.250 0.494
0.982 0.750 0.994
0.000 0.000 0.500
0.000 0.500 0.500
0.500 0.000 0.000
0.500 0.500 0.000
0.013 0.750 0.428
0.227 0.539 0.772
0.227 0.961 0.772
0.273 0.039 0.272
0.273 0.461 0.272
0.487 0.250 0.928
0.513 0.750 0.072
0.727 0.539 0.728
0.727 0.961 0.728
0.773 0.039 0.228
0.773 0.461 0.228
0.987 0.250 0.572

Question: The highest magnetization belongs to which entry?
Answer: Ba3U4O12